(1)
Nd2TeSe: relaxed, PBE.

Values from the calculation:
Symmetry: C2/m, No. 12
Polymorph energy (0 for the lowest one), eV/atom: 0.012

a = 7.5390 Å, b = 4.3593 Å, c = 7.6135 Å
α = 90.00°, β = 109.30°, γ = 90.00°
Sites, in units of the cell vectors:
Nd1 0.2390 0.0000 0.2172
Nd2 0.2610 0.5000 0.7828
Nd3 0.7390 0.5000 0.2172
Nd4 0.7610 0.0000 0.7828
Te1 0.0000 0.0000 0.5000
Te2 0.5000 0.5000 0.5000
Se1 0.0000 0.5000 0.0000
Se2 0.5000 0.0000 0.0000

(2)
Nd3Te3Se: relaxed, PBE.

Values from the calculation:
Symmetry: C2/m, No. 12

a = 7.8856 Å, b = 7.8856 Å, c = 8.1528 Å
α = 90.57°, β = 90.57°, γ = 110.08°
Sites, in units of the cell vectors:
Nd1 0.0562 0.0562 0.2960
Nd2 0.1953 0.4996 0.8048
Nd3 0.4996 0.1953 0.8048
Nd4 0.5004 0.8047 0.1952
Nd5 0.8047 0.5004 0.1952
Nd6 0.9438 0.9438 0.7040
Te1 0.1601 0.8399 0.0000
Te2 0.2281 0.7719 0.5000
Te3 0.3645 0.3645 0.1359
Te4 0.6355 0.6355 0.8641
Te5 0.7719 0.2281 0.5000
Te6 0.8399 0.1601 0.0000
Se1 0.2524 0.2524 0.5806
Se2 0.7476 0.7476 0.4194

(3)
Nd4TeSe2: relaxed, PBE.

Values from the calculation:
Symmetry: R-3m, No. 166
Polymorph energy (0 for the lowest one), eV/atom: 0.220

a = 11.2718 Å, b = 11.2718 Å, c = 11.2718 Å
α = 25.81°, β = 25.81°, γ = 25.81°
Sites, in units of the cell vectors:
Nd1 0.1204 0.1204 0.1204
Nd2 0.2965 0.2965 0.2965
Nd3 0.7035 0.7035 0.7035
Nd4 0.8796 0.8796 0.8796
Te1 0.0000 0.0000 0.0000
Se1 0.2095 0.2095 0.2095
Se2 0.7905 0.7905 0.7905

Number 1: total moment 0.00 μB per cell, total DFT energy (no corrections) -5.68 eV per atom, DOS(E_F) 0.3781 states/eV/atom. Number 2: total moment 0.00 μB per cell, total DFT energy (no corrections) -5.26 eV per atom, DOS(E_F) 0.5462 states/eV/atom. Number 3: total moment 0.00 μB per cell, total DFT energy (no corrections) -5.36 eV per atom, DOS(E_F) 0.6634 states/eV/atom.